TeMoO2F at its PBEsol-relaxed geometry. Source: the Alexandria database, functional SCAN.

a b c (Å): 4.186 4.186 4.436
angles (deg): 90.00 90.00 90.00
Positions (direct):
Mo 0.500 0.500 0.500
Te 0.000 0.000 0.000
O 0.000 0.500 0.000
O 0.500 0.000 0.000
F 0.000 0.000 0.500

DOS(E_F): 0.416 states/eV/atom
Space-group type: P4/mmm (123)
Size of the total moment: 0.976 μB per atom
E_tot: -17.806 eV per atom



MgVSi4O10 at its PBEsol-relaxed geometry. Source: the Alexandria database, functional SCAN.

a b c (Å): 7.233 7.233 14.846
angles (deg): 90.00 90.00 90.00
Positions (direct):
Mg 0.500 0.500 0.500
Mg 0.000 0.000 0.500
Mg 0.000 0.000 0.000
Mg 0.500 0.500 0.000
V 0.500 0.000 0.571
V 0.000 0.500 0.929
V 0.000 0.500 0.429
V 0.500 0.000 0.071
Si 0.162 0.239 0.645
Si 0.838 0.761 0.645
Si 0.239 0.162 0.855
Si 0.739 0.338 0.645
Si 0.261 0.662 0.645
Si 0.338 0.739 0.855
Si 0.662 0.261 0.855
Si 0.761 0.838 0.855
Si 0.338 0.261 0.355
Si 0.662 0.739 0.355
Si 0.261 0.338 0.145
Si 0.761 0.162 0.355
Si 0.239 0.838 0.355
Si 0.162 0.761 0.145
Si 0.838 0.239 0.145
Si 0.739 0.662 0.145
O 0.234 0.085 0.574
O 0.766 0.915 0.574
O 0.085 0.234 0.926
O 0.585 0.266 0.574
O 0.415 0.734 0.574
O 0.266 0.585 0.926
O 0.734 0.415 0.926
O 0.915 0.766 0.926
O 0.266 0.415 0.426
O 0.734 0.585 0.426
O 0.415 0.266 0.074
O 0.915 0.234 0.426
O 0.085 0.766 0.426
O 0.234 0.915 0.074
O 0.766 0.085 0.074
O 0.247 0.059 0.376
O 0.585 0.734 0.074
O 0.747 0.559 0.624
O 0.441 0.253 0.876
O 0.941 0.247 0.624
O 0.059 0.753 0.624
O 0.247 0.941 0.876
O 0.753 0.059 0.876
O 0.559 0.747 0.876
O 0.691 0.691 0.250
O 0.809 0.191 0.250
O 0.191 0.809 0.250
O 0.309 0.309 0.250
O 0.809 0.809 0.750
O 0.691 0.309 0.750
O 0.309 0.691 0.750
O 0.191 0.191 0.750
O 0.941 0.753 0.124
O 0.747 0.441 0.124
O 0.253 0.559 0.124
O 0.441 0.747 0.376
O 0.559 0.253 0.376
O 0.059 0.247 0.124
O 0.753 0.941 0.376
O 0.253 0.441 0.624

Space-group type: P4/ncc (130)
Size of the total moment: 0.187 μB per atom
E_tot: -10.657 eV per atom



Li2CaCd at its PBEsol-relaxed geometry. Source: the Alexandria database, functional SCAN.

a b c (Å): 4.513 4.513 5.559
angles (deg): 113.95 113.95 90.00
Positions (direct):
Ca 0.500 0.500 0.000
Cd 0.250 0.750 0.500
Li 0.000 0.000 0.000
Li 0.750 0.250 0.500

DOS(E_F): 0.538 states/eV/atom
Space-group type: I-4m2 (119)
Size of the total moment: 0.002 μB per atom
E_tot: -11.393 eV per atom
Formation energy: -69 kJ/mol of formula units
Offset from the most stable computed form: 0.019 eV/atom



Y4TeSe at its PBEsol-relaxed geometry. Source: the Alexandria database, functional SCAN.

a b c (Å): 6.131 6.131 6.131
angles (deg): 60.00 60.00 60.00
Positions (direct):
Se 0.750 0.750 0.750
Te 0.000 0.000 0.000
Y 0.375 0.375 0.375
Y 0.375 0.375 0.876
Y 0.876 0.375 0.375
Y 0.375 0.876 0.375

DOS(E_F): 0.706 states/eV/atom
Space-group type: F-43m (216)
Size of the total moment: 0.000 μB per atom
E_tot: -28.178 eV per atom



NiSbIr3 at its PBEsol-relaxed geometry. Source: the Alexandria database, functional SCAN.

a b c (Å): 4.447 4.447 4.447
angles (deg): 90.00 90.00 90.00
Positions (direct):
Sb 0.500 0.500 0.500
Ir 0.000 0.500 0.000
Ir 0.000 0.000 0.500
Ir 0.500 0.000 0.000
Ni 0.000 0.000 0.000

DOS(E_F): 1.194 states/eV/atom
Space-group type: Pm-3m (221)
Size of the total moment: 0.708 μB per atom
E_tot: -51.930 eV per atom



RbZn2GeO at its PBEsol-relaxed geometry. Source: the Alexandria database, functional SCAN.

a b c (Å): 4.510 4.510 7.419
angles (deg): 90.00 90.00 90.00
Positions (direct):
O 0.500 0.500 0.500
Ge 0.000 0.000 0.000
Zn 0.000 0.500 0.000
Zn 0.500 0.000 0.000
Rb 0.000 0.000 0.500

DOS(E_F): 0.891 states/eV/atom
Space-group type: P4/mmm (123)
Size of the total moment: 0.225 μB per atom
E_tot: -14.386 eV per atom